No. 1
Material: CaErHf
Method: DFT, PBE
State: relaxed

The structure in POSCAR format:
```
CaErHf
1.0
-2.819 -1.358 2.109
2.450 -2.170 1.878
2.167 12.008 7.254
Hf Er Ca
2 2 2
Cartesian
1.084 5.603 5.059
0.713 2.876 6.183
0.635 3.282 2.963
1.163 5.198 8.279
0.078 -0.409 3.217
1.720 8.889 8.025
```

Summary:
ΔH_f (0 K): 0.50 eV per formula unit
space-group type: No. 139
spin magnetization: 0.000 Bohr magnetons per cell
uncorrected energy: -5.340 eV per atom

---

No. 2
Material: LuZrRePt
Method: DFT, PBE
State: relaxed

The structure in POSCAR format:
```
LuZrRePt
1.0
4.736 0.000 0.000
2.368 4.101 0.000
2.368 1.367 3.867
Re Lu Zr Pt
1 1 1 1
Cartesian
2.368 1.367 0.967
4.736 2.734 1.933
0.000 0.000 0.000
7.104 4.101 2.900
```

Summary:
ΔH_f (0 K): -2.34 eV per formula unit
space-group type: No. 216
spin magnetization: 0.000 Bohr magnetons per cell
uncorrected energy: -8.474 eV per atom

---

No. 3
Material: HfIn2Te4
Method: DFT, PBE
State: relaxed

The structure in POSCAR format:
```
HfIn2Te4
1.0
-2.600 -6.375 -0.460
4.199 1.552 -5.251
3.673 0.372 5.829
Hf In Te
1 2 4
Cartesian
0.799 -2.411 -2.856
4.336 -0.243 -1.138
0.936 -4.207 1.257
1.920 -1.474 1.782
-0.374 -4.568 -1.363
5.646 0.117 1.482
3.352 -2.976 -1.664
```

Summary:
energy relative to the elements, uncorrected: -0.146 eV per atom
space-group type: No. 87
spin magnetization: 1.092 Bohr magnetons per cell
uncorrected energy: -4.145 eV per atom

---

No. 4
Material: CsErRu2O8
Method: DFT, PBE
State: relaxed

The structure in POSCAR format:
```
CsErRu2O8
1.0
-4.962 2.963 -1.215
0.622 -5.586 -1.812
-3.454 -2.769 7.352
Cs Er Ru O
1 1 2 8
Cartesian
0.000 0.000 0.000
-1.727 -1.385 3.676
-4.038 -0.638 0.582
-3.756 -4.754 3.744
-4.462 -5.321 5.247
-2.721 -1.159 1.699
-4.982 0.700 1.337
-3.332 -0.072 -0.921
-2.811 -6.093 2.988
-5.073 -4.234 2.626
-2.664 -3.360 4.087
-5.130 -2.033 0.239
```

Summary:
energy relative to the elements, uncorrected: -1.513 eV per atom
space-group type: No. 147
spin magnetization: 4.026 Bohr magnetons per cell
uncorrected energy: -6.816 eV per atom

---

No. 5
Material: Rb3AlMo
Method: DFT, PBE
State: relaxed

The structure in POSCAR format:
```
Rb3AlMo
1.0
-0.756 -2.452 -6.389
6.035 -3.269 0.541
-3.226 -5.541 2.508
Mo Al Rb
1 1 3
Cartesian
1.027 -5.631 -1.670
0.000 0.000 0.000
3.018 -1.635 0.270
-1.613 -2.770 1.254
-0.378 -1.226 -3.194
```

Summary:
ΔH_f (0 K): 6.91 eV per formula unit
space-group type: No. 221
spin magnetization: 5.765 Bohr magnetons per cell
uncorrected energy: -2.113 eV per atom
E above lowest polymorph: 0.0 meV/atom